{"formula": "Mg2GaP", "functional": "GGA-PBE", "state": "relaxed", "lattice": [[2.5683, -3.9694, 0.1516], [-1.7813, -4.0362, -1.7065], [1.7344, -1.8488, -3.9937]], "species": ["Ga", "Mg", "Mg", "P"], "frac_coords": [[0.5000, 0.5000, 0.5000], [0.7500, 0.7500, 0.7500], [0.2500, 0.2500, 0.2500], [0.0000, 0.0000, 0.0000]], "density_g_cm3": 3.31, "de_polymorph_ev_per_fu": 0.00, "ef_ev_per_atom": -0.08}